{
  "formula": "BeGeBiRh2",
  "functional": "PBE",
  "state": "optimized geometry",
  "lattice": [[4.7019, 0.0000, 0.0000], [0.0000, 4.7019, 0.0000], [0.0000, 0.0000, 4.1703]],
  "species": ["Be", "Ge", "Bi", "Rh", "Rh"],
  "frac_coords": [[0.0000, 0.0000, 0.0000], [0.0000, 0.0000, 0.5000], [0.5000, 0.5000, 0.0000], [0.0000, 0.5000, 0.5000], [0.5000, 0.0000, 0.5000]],
  "sg": "P4/mmm",
  "crystal_system": "tetragonal"
}

=====

{
  "formula": "Ba3Sr4In",
  "functional": "PBE",
  "state": "optimized geometry",
  "lattice": [[4.2378, 0.0000, 0.0000], [0.0000, 4.2378, 0.0000], [0.0000, 0.0000, 23.5194]],
  "species": ["Ba", "Ba", "Ba", "Sr", "Sr", "Sr", "Sr", "In"],
  "frac_coords": [[0.0000, 0.0000, 0.0000], [0.0000, 0.0000, 0.2762], [0.0000, 0.0000, 0.7238], [0.5000, 0.5000, 0.1374], [0.5000, 0.5000, 0.4179], [0.5000, 0.5000, 0.5821], [0.5000, 0.5000, 0.8626], [0.0000, 0.0000, 0.5000]],
  "sg": "P4/mmm",
  "crystal_system": "tetragonal"
}

=====

{
  "formula": "C3Se5",
  "functional": "PBE",
  "state": "optimized geometry",
  "lattice": [[3.3776, -3.5587, 0.0000], [3.3776, 3.5587, 0.0000], [0.0000, 0.0000, 8.3587]],
  "species": ["C", "C", "C", "Se", "Se", "Se", "Se", "Se"],
  "frac_coords": [[0.0000, 0.0000, 0.0000], [0.1677, 0.8323, 0.5000], [0.8323, 0.1677, 0.5000], [0.0000, 0.5000, 0.0000], [0.2202, 0.2202, 0.5000], [0.5000, 0.0000, 0.0000], [0.5000, 0.5000, 0.0000], [0.7798, 0.7798, 0.5000]],
  "e_above_lowest_polymorph_kj_per_mol_atoms": 64.7,
  "sg": "Cmmm",
  "formation_energy_uncorrected_ev_per_atom": 1.66,
  "crystal_system": "orthorhombic"
}

=====

{
  "formula": "CaYCuSi",
  "functional": "PBE",
  "state": "optimized geometry",
  "lattice": [[0.0000, 3.5200, 3.5200], [3.5200, 0.0000, 3.5200], [3.5200, 3.5200, 0.0000]],
  "species": ["Ca", "Y", "Cu", "Si"],
  "frac_coords": [[0.0000, 0.0000, 0.0000], [0.5000, 0.5000, 0.5000], [0.2500, 0.2500, 0.2500], [0.7500, 0.7500, 0.7500]],
  "sg": "F-43m",
  "formation_energy_uncorrected_ev_per_atom": -0.37,
  "crystal_system": "cubic"
}

=====

{
  "formula": "CsReRh2Au",
  "functional": "PBE",
  "state": "optimized geometry",
  "lattice": [[4.9090, 0.0000, 0.0000], [0.0000, 4.9090, 0.0000], [0.0000, 0.0000, 5.6763]],
  "species": ["Cs", "Re", "Rh", "Rh", "Au"],
  "frac_coords": [[0.0000, 0.0000, 0.0000], [0.5000, 0.5000, 0.5000], [0.0000, 0.5000, 0.0000], [0.5000, 0.0000, 0.0000], [0.0000, 0.0000, 0.5000]],
  "sg": "P4/mmm",
  "crystal_system": "tetragonal"
}

=====

{
  "formula": "Li4Pu3ReN8",
  "functional": "PBE",
  "state": "optimized geometry",
  "lattice": [[3.3037, 1.9074, 5.0772], [-3.3037, 1.9074, 5.0772], [0.0000, -3.8148, 5.0772]],
  "species": ["Li", "Li", "Li", "Li", "Pu", "Pu", "Pu", "Re", "N", "N", "N", "N", "N", "N", "N", "N"],
  "frac_coords": [[0.0000, 0.0000, 0.0000], [0.0000, 0.5000, 0.5000], [0.5000, 0.0000, 0.5000], [0.5000, 0.5000, 0.0000], [0.0000, 0.0000, 0.5000], [0.0000, 0.5000, 0.0000], [0.5000, 0.0000, 0.0000], [0.5000, 0.5000, 0.5000], [0.2389, 0.2389, 0.2389], [0.2604, 0.7271, 0.7271], [0.2729, 0.2729, 0.7396], [0.2729, 0.7396, 0.2729], [0.7271, 0.2604, 0.7271], [0.7271, 0.7271, 0.2604], [0.7396, 0.2729, 0.2729], [0.7611, 0.7611, 0.7611]],
  "sg": "R-3m",
  "formation_energy_uncorrected_ev_per_atom": -0.70,
  "crystal_system": "trigonal"
}

=====

Record-wise E values, in eV/cell: -25.27; -15.94; -31.85; -19.45; -17.36; -140.88